[1]
Below is a geometry-optimized Li3AcCu3 structure, with properties calculated at the PBE level.

Cell lengths 6.566, 6.566, 6.566 Å; angles 90.00, 90.00, 90.00 degrees
Fractional positions:
Li1 0.000 0.250 0.500
Li2 0.000 0.750 0.500
Li3 0.250 0.500 0.000
Li4 0.500 0.000 0.250
Li5 0.500 0.000 0.750
Li6 0.750 0.500 0.000
Ac1 0.000 0.000 0.000
Ac2 0.500 0.500 0.500
Cu1 0.000 0.500 0.250
Cu2 0.000 0.500 0.750
Cu3 0.250 0.000 0.500
Cu4 0.500 0.250 0.000
Cu5 0.500 0.750 0.000
Cu6 0.750 0.000 0.500

Properties
The value obtained for the total magnetization is 0.00 μB/f.u. As for the formation energy from the elements: 0.246 eV per atom. As for the theoretical density: 5.1 g/cm³.

=====

[2]
Below is a geometry-optimized LiAcCu4 structure, with properties calculated at the PBE level.

Cell lengths 8.492, 8.492, 8.492 Å; angles 116.06, 116.06, 96.98 degrees
Fractional positions:
Li1 0.000 0.189 0.189
Li2 0.000 0.811 0.811
Li3 0.189 0.000 0.189
Li4 0.811 0.000 0.811
Ac1 0.250 0.750 0.500
Ac2 0.336 0.336 0.000
Ac3 0.664 0.664 0.000
Ac4 0.750 0.250 0.500
Cu1 0.028 0.028 0.388
Cu2 0.028 0.641 0.000
Cu3 0.188 0.374 0.561
Cu4 0.188 0.626 0.814
Cu5 0.359 0.359 0.388
Cu6 0.359 0.972 0.000
Cu7 0.374 0.188 0.561
Cu8 0.374 0.812 0.186
Cu9 0.626 0.188 0.814
Cu10 0.626 0.812 0.439
Cu11 0.641 0.028 0.000
Cu12 0.641 0.641 0.612
Cu13 0.812 0.374 0.186
Cu14 0.812 0.626 0.439
Cu15 0.972 0.359 0.000
Cu16 0.972 0.972 0.612

Properties
The value obtained for the total magnetization is 0.00 μB/f.u. As for the formation energy from the elements: 0.064 eV per atom. As for the theoretical density: 7.1 g/cm³.

=====

[3]
Below is a geometry-optimized LiAcCu2 structure, with properties calculated at the PBE level.

Cell lengths 4.949, 4.949, 3.620 Å; angles 90.00, 90.00, 90.00 degrees
Fractional positions:
Li1 0.000 0.000 0.000
Ac1 0.500 0.500 0.000
Cu1 0.000 0.500 0.500
Cu2 0.500 0.000 0.500

Properties
The value obtained for the total magnetization is 0.00 μB/f.u. As for the formation energy from the elements: 0.104 eV per atom. As for the theoretical density: 6.8 g/cm³.

=====

[4]
Below is a geometry-optimized LiAc2Cu structure, with properties calculated at the PBE level.

Cell lengths 3.997, 3.997, 29.498 Å; angles 90.00, 90.00, 120.00 degrees
Fractional positions:
Li1 0.000 0.000 0.000
Li2 0.333 0.667 0.667
Li3 0.667 0.333 0.333
Ac1 0.000 0.000 0.571
Ac2 0.000 0.000 0.766
Ac3 0.333 0.667 0.237
Ac4 0.333 0.667 0.432
Ac5 0.667 0.333 0.099
Ac6 0.667 0.333 0.904
Cu1 0.000 0.000 0.168
Cu2 0.333 0.667 0.835
Cu3 0.667 0.333 0.501

Properties
The value obtained for the total magnetization is 0.00 μB/f.u. As for the formation energy from the elements: 0.129 eV per atom. As for the theoretical density: 6.4 g/cm³.

=====

[5]
Below is a geometry-optimized LiAc2Cu structure, with properties calculated at the PBE level.

Cell lengths 3.898, 3.898, 33.926 Å; angles 90.00, 90.00, 120.00 degrees
Fractional positions:
Li1 0.000 0.000 0.000
Li2 0.333 0.667 0.667
Li3 0.667 0.333 0.333
Ac1 0.000 0.000 0.105
Ac2 0.000 0.000 0.895
Ac3 0.333 0.667 0.561
Ac4 0.333 0.667 0.772
Ac5 0.667 0.333 0.228
Ac6 0.667 0.333 0.439
Cu1 0.000 0.000 0.500
Cu2 0.333 0.667 0.167
Cu3 0.667 0.333 0.833

Properties
The value obtained for the total magnetization is 0.00 μB/f.u. As for the formation energy from the elements: 0.251 eV per atom. As for the theoretical density: 5.9 g/cm³.

=====

[6]
Below is a geometry-optimized Li4AcCu2 structure, with properties calculated at the PBE level.

Cell lengths 4.124, 16.764, 4.141 Å; angles 90.00, 90.00, 90.00 degrees
Fractional positions:
Li1 0.000 0.180 0.000
Li2 0.000 0.317 0.500
Li3 0.000 0.683 0.500
Li4 0.000 0.820 0.000
Li5 0.500 0.183 0.500
Li6 0.500 0.320 0.000
Li7 0.500 0.680 0.000
Li8 0.500 0.817 0.500
Ac1 0.000 0.500 0.000
Ac2 0.500 0.000 0.000
Cu1 0.000 0.077 0.500
Cu2 0.000 0.923 0.500
Cu3 0.500 0.423 0.500
Cu4 0.500 0.577 0.500

Properties
The value obtained for the total magnetization is 0.00 μB/f.u. As for the formation energy from the elements: -0.065 eV per atom. As for the theoretical density: 4.4 g/cm³.